Computed, not measured: an optimized crystal structure of HgI at the PBE level of DFT.

Calculated values
The value obtained for the energy above the most stable polymorph in this dataset is 0 meV/atom. Its uncorrected formation energy is -241.9 meV/atom. The total moment is 0.0 μB/cell.

a = 5.1399 Å, b = 5.1399 Å, c = 11.8418 Å
α = 90.00°, β = 90.00°, γ = 90.00°
Space group I4/mmm (No. 139)
Inequivalent atoms, fractional coordinates:
Hg: 0.0000 0.0000 0.1126
I: 0.0000 0.0000 0.3467

***

Computed, not measured: an optimized crystal structure of Tc4P5 at the PBE level of DFT.

Calculated values
For the formation energy from the elements, the calculation gives 0.323 eV per atom. The value obtained for the energy above the most stable polymorph in this dataset is 330 meV/atom. The total moment is 0.0 μB/cell.

a = 9.0609 Å, b = 9.0609 Å, c = 3.0077 Å
α = 90.00°, β = 90.00°, γ = 90.00°
Space group I4/mmm (No. 139)
Inequivalent atoms, fractional coordinates:
Tc: 0.0000 0.3174 0.0000
P: 0.0000 0.0000 0.0000
P: 0.1753 0.1753 0.5000

***

Computed, not measured: an optimized crystal structure of ZnFeMo2 at the PBE level of DFT.

Calculated values
For the formation energy from the elements, the calculation gives 0.569 eV per atom. The total moment is 0.0 μB/cell.

a = 6.9272 Å, b = 6.9272 Å, c = 5.0984 Å
α = 90.00°, β = 90.00°, γ = 90.00°
Space group I-42d (No. 122)
Inequivalent atoms, fractional coordinates:
Zn: 0.0000 0.0000 0.0000
Fe: 0.0000 0.0000 0.5000
Mo: 0.2058 0.2500 0.6250

***

Computed, not measured: an optimized crystal structure of Nd2Ga2AgPd5 at the PBE level of DFT.

Calculated values
For the formation energy from the elements, the calculation gives -0.607 eV per atom. The total moment is 0.0 μB/cell.

a = 10.0008 Å, b = 10.0008 Å, c = 3.7873 Å
α = 90.00°, β = 90.00°, γ = 90.00°
Space group P4/mbm (No. 127)
Inequivalent atoms, fractional coordinates:
Nd: 0.1789 0.3211 0.0000
Ga: 0.1195 0.6195 0.0000
Ag: 0.0000 0.0000 0.0000
Pd: 0.0000 0.5000 0.5000
Pd: 0.0624 0.7905 0.5000

***

Computed, not measured: an optimized crystal structure of ZrCdMo2 at the PBE level of DFT.

Calculated values
For the formation energy from the elements, the calculation gives 0.175 eV per atom. The total moment is 0.0 μB/cell.

a = 2.8738 Å, b = 4.3971 Å, c = 5.9870 Å
α = 90.00°, β = 100.49°, γ = 90.00°
Space group Pm (No. 6)
Inequivalent atoms, fractional coordinates:
Zr: 0.0000 0.0000 0.0000
Cd: 0.5920 0.5000 0.2757
Mo: 0.1409 0.0000 0.5447
Mo: 0.4891 0.5000 0.7437

***

Computed, not measured: an optimized crystal structure of NiHPd2Ru at the PBE level of DFT.

Calculated values
The value obtained for the energy above the most stable polymorph in this dataset is 39 meV/atom. The total moment is 2.1 μB/cell.

a = 3.9256 Å, b = 3.9256 Å, c = 3.8372 Å
α = 90.00°, β = 90.00°, γ = 90.00°
Space group P4/mmm (No. 123)
Inequivalent atoms, fractional coordinates:
Ni: 0.0000 0.0000 0.0000
H: 0.0000 0.0000 0.5000
Pd: 0.0000 0.5000 0.5000
Ru: 0.5000 0.5000 0.0000

***

Computed, not measured: an optimized crystal structure of NdB at the PBE level of DFT.

Calculated values
For the formation energy from the elements, the calculation gives -0.307 eV per atom. The total moment is 0.0 μB/cell.

a = 3.7017 Å, b = 3.2086 Å, c = 7.2112 Å
α = 90.00°, β = 104.59°, γ = 90.00°
Space group P2_1/m (No. 11)
Inequivalent atoms, fractional coordinates:
Nd: 0.1208 0.2500 0.2467
B: 0.4816 0.2500 0.9631

***

Computed, not measured: an optimized crystal structure of AlAu3F at the PBE level of DFT.

Calculated values
The value obtained for the energy above the most stable polymorph in this dataset is 0 meV/atom. Its uncorrected formation energy is 220.9 meV/atom. The total moment is 0.0 μB/cell.

a = 4.8315 Å, b = 4.8315 Å, c = 4.8315 Å
α = 90.00°, β = 90.00°, γ = 90.00°
Space group Pm-3m (No. 221)
Inequivalent atoms, fractional coordinates:
Al: 0.0000 0.0000 0.0000
Au: 0.0000 0.0000 0.5000
F: 0.5000 0.5000 0.5000

***

Computed, not measured: an optimized crystal structure of RuRhAu at the PBE level of DFT.

Calculated values
For the formation energy from the elements, the calculation gives 0.712 eV per atom. The value obtained for the energy above the most stable polymorph in this dataset is 536 meV/atom. The total moment is 0.9 μB/cell.

a = 6.0092 Å, b = 6.0092 Å, c = 6.0092 Å
α = 90.00°, β = 90.00°, γ = 90.00°
Space group F-43m (No. 216)
Inequivalent atoms, fractional coordinates:
Ru: 0.0000 0.0000 0.0000
Rh: 0.2500 0.2500 0.7500
Au: 0.0000 0.0000 0.5000

***

Computed, not measured: an optimized crystal structure of NaNbSnO5 at the PBE level of DFT.

Calculated values
Its uncorrected formation energy is -2060.4 meV/atom. The total moment is 0.0 μB/cell.

a = 7.0824 Å, b = 9.6684 Å, c = 7.4825 Å
α = 90.00°, β = 112.26°, γ = 90.00°
Space group C2/c (No. 15)
Inequivalent atoms, fractional coordinates:
Na: 0.0000 0.1851 0.2500
Nb: 0.0000 0.1833 0.7500
Sn: 0.0000 0.5000 0.0000
O: 0.0000 0.4237 0.2500
O: 0.1126 0.3002 0.6161
O: 0.1950 0.0681 0.9265

***

Computed, not measured: an optimized crystal structure of Pr4NdY2Tm2 at the PBE level of DFT.

Calculated values
For the formation energy from the elements, the calculation gives 0.020 eV per atom. The total moment is 0.0 μB/cell.

a = 15.4128 Å, b = 5.1250 Å, c = 8.1022 Å
α = 90.00°, β = 108.16°, γ = 90.00°
Space group C2/m (No. 12)
Inequivalent atoms, fractional coordinates:
Pr: 0.0542 0.0000 0.3299
Pr: 0.2229 0.5000 0.3299
Nd: 0.0000 0.5000 0.0000
Y: 0.1119 0.5000 0.6693
Tm: 0.1687 0.0000 0.9993

***

Computed, not measured: an optimized crystal structure of BiBSb3 at the PBE level of DFT.

Calculated values
The value obtained for the energy above the most stable polymorph in this dataset is 1225 meV/atom. Its uncorrected formation energy is 1865.5 meV/atom. The total moment is 0.0 μB/cell.

a = 5.8440 Å, b = 5.8440 Å, c = 5.8440 Å
α = 90.00°, β = 90.00°, γ = 90.00°
Space group Pm-3m (No. 221)
Inequivalent atoms, fractional coordinates:
Bi: 0.0000 0.0000 0.0000
B: 0.5000 0.5000 0.5000
Sb: 0.0000 0.0000 0.5000